# Tl2AgGeN (PBE, optimized geometry)
data_Tl2AgGeN
_symmetry_space_group_name_H-M 'P 4/m m m'
_symmetry_Int_Tables_number 123
_symmetry_space_group_name_Hall '-P 4 2'
_cell_length_a 5.776
_cell_length_b 5.776
_cell_length_c 3.765
_cell_angle_alpha 90.00
_cell_angle_beta 90.00
_cell_angle_gamma 90.00
loop_
_atom_site_label
_atom_site_type_symbol
_atom_site_fract_x
_atom_site_fract_y
_atom_site_fract_z
_atom_site_occupancy
Tl1 Tl 0.000 0.500 0.000 1
Ag1 Ag 0.000 0.000 0.500 1
Ge1 Ge 0.500 0.500 0.500 1
N1 N 0.500 0.500 0.000 1
# Formation energy from raw total energies: 0.55 eV per atom
# Magnetization: 0.00 μB/f.u.